First-principles (PBE+U) data for crystalline KNd2CrO5 at its relaxed geometry, as listed in Alexandria.

a = 6.812 Å, b = 6.812 Å, c = 5.838 Å
α = 90.00°, β = 90.00°, γ = 90.00°
Space group P4/mbm (No. 127)
One atom of each set of equivalent atoms:
K 0.000 0.000 0.000 [2 per cell]
Nd 0.179 0.321 0.500 [4 per cell]
Cr 0.000 0.500 0.000 [2 per cell]
O 0.000 0.000 0.500 [2 per cell]
O 0.133 0.633 0.242 [8 per cell]

## Properties
- Electronic total energy: -7.277 eV/atom